# 1
! Er2ZnIn3 (PBE, relaxed); values from VASP
! - calculated volume (A^3/atom) = 23.7
! - calculated total energy (eV for the cell shown) = -20.9
! - formation energy (meV per atom) = -379
&SYSTEM
  ibrav = 0, nat = 6, ntyp = 3
/
ATOMIC_SPECIES
Er 167.26 Er.upf
Zn 65.41 Zn.upf
In 114.82 In.upf
ATOMIC_POSITIONS crystal
Er 0.000 0.000 0.000
Er 0.000 0.500 0.486
Zn 0.500 0.000 0.321
In 0.500 0.000 0.643
In 0.500 0.500 0.171
In 0.500 0.500 0.828
CELL_PARAMETERS angstrom
3.553 0.000 0.000
0.000 4.781 0.000
0.000 0.000 8.385

# 2
! Er3ZnIn3 (PBE, relaxed); values from VASP
! - calculated volume (A^3/atom) = 25.5
! - calculated total energy (eV for the cell shown) = -51.9
! - formation energy (meV per atom) = -396
&SYSTEM
  ibrav = 0, nat = 14, ntyp = 3
/
ATOMIC_SPECIES
Er 167.26 Er.upf
Zn 65.41 Zn.upf
In 114.82 In.upf
ATOMIC_POSITIONS crystal
Er 0.035 0.035 0.382
Er 0.097 0.097 0.919
Er 0.236 0.236 0.224
Er 0.764 0.764 0.776
Er 0.903 0.903 0.081
Er 0.965 0.965 0.618
Zn 0.258 0.258 0.617
Zn 0.742 0.742 0.383
In 0.361 0.361 0.455
In 0.377 0.377 0.926
In 0.478 0.478 0.765
In 0.522 0.522 0.235
In 0.623 0.623 0.074
In 0.639 0.639 0.545
CELL_PARAMETERS angstrom
5.560 -2.292 0.000
5.560 2.292 0.000
-4.753 0.000 13.983

# 3
! Er8Zn2In (PBE, relaxed); values from VASP
! - calculated volume (A^3/atom) = 26.7
! - calculated total energy (eV for the cell shown) = -44.1
! - formation energy (meV per atom) = -206
&SYSTEM
  ibrav = 0, nat = 11, ntyp = 3
/
ATOMIC_SPECIES
Er 167.26 Er.upf
Zn 65.41 Zn.upf
In 114.82 In.upf
ATOMIC_POSITIONS crystal
Er 0.064 0.064 0.226
Er 0.150 0.150 0.710
Er 0.314 0.314 0.535
Er 0.395 0.395 0.034
Er 0.605 0.605 0.966
Er 0.686 0.686 0.465
Er 0.850 0.850 0.290
Er 0.936 0.936 0.774
Zn 0.218 0.218 0.119
Zn 0.782 0.782 0.881
In 0.500 0.500 0.500
CELL_PARAMETERS angstrom
7.989 -2.555 0.000
7.989 2.555 0.000
-3.861 0.000 7.199

> What is the calculated volume in the second record?

25.5 A^3/atom